{"formula": "Eu2O3", "functional": "SCAN", "state": "PBEsol geometry", "lattice_angstrom": [[-1.6509, -0.8739, 3.2474], [0.5909, -2.6559, -2.5752], [5.2052, -1.1164, 2.3457]], "species": ["Eu", "Eu", "O", "O", "O"], "fractional_positions": [[0.3333, 0.6667, 0.2431], [0.6667, 0.3333, 0.7569], [0.0000, 0.0000, 0.0000], [0.3333, 0.6667, 0.6486], [0.6667, 0.3333, 0.3514]], "e_form_raw_mev_per_atom": -2983.5, "energy_ev_per_atom": -28.207}